No. 1
First-principles (PBE) data for MoPb2Au after structural relaxation, as listed in Alexandria.

ΔH_f (0 K) ... 0.46 eV/atom
N(E_F) ... 0.80 states/eV per atom
E ... -0.3617 Ry/atom
Polymorph energy (0 for the lowest one) ... 0.116 eV/atom

Unit cell a=7.1288 b=7.1288 c=7.1288 alpha=154.70 beta=141.10 gamma=46.98
Last column: nearest neighbours and their distance in Å.
Element x y z (fractional)
Mo 0.2575 0.7575 0.5000  2 Au 2.81, 6 Pb 2.84-3.14, 2 Mo 3.12
Au 0.4358 0.4358 0.0000  2 Mo 2.81, 2 Au 3.12
Pb 0.7572 0.2572 0.5000  4 Mo 2.84, 2 Pb 3.12
Pb 0.0495 0.0495 0.0000  2 Pb 3.12, 2 Mo 3.14, 4 Au 3.21

=====

No. 2
First-principles (PBE) data for MoPb2Au after structural relaxation, as listed in Alexandria.

ΔH_f (0 K) ... 0.56 eV/atom
N(E_F) ... 0.73 states/eV per atom
E ... -0.3546 Ry/atom
Polymorph energy (0 for the lowest one) ... 0.212 eV/atom

Unit cell a=9.5782 b=9.5782 c=9.5782 alpha=19.87 beta=19.87 gamma=19.87
Last column: nearest neighbours and their distance in Å.
Element x y z (fractional)
Mo 0.7500 0.7500 0.7500  6 Pb 2.96, 6 Mo 3.31
Au 0.2500 0.2500 0.2500  6 Pb 3.09, 6 Au 3.31
Pb 0.0028 0.0028 0.0028  3 Mo 2.96, 3 Au 3.09, 6 Pb 3.31
Pb 0.4972 0.4972 0.4972  3 Mo 2.96, 3 Au 3.09, 6 Pb 3.31

=====

No. 3
First-principles (PBE) data for MoPb2Au after structural relaxation, as listed in Alexandria.

ΔH_f (0 K) ... 0.63 eV/atom
N(E_F) ... 1.15 states/eV per atom
E ... -0.3490 Ry/atom
Polymorph energy (0 for the lowest one) ... 0.289 eV/atom

Unit cell a=3.1038 b=3.1038 c=9.4388 alpha=90.00 beta=90.00 gamma=90.00
Last column: nearest neighbours and their distance in Å.
Element x y z (fractional)
Pb 0.0000 0.0000 0.9874  4 Pb 3.10, 4 Mo 3.14, 4 Au 3.31
Mo 0.5000 0.5000 0.7500  4 Mo 3.10, 8 Pb 3.14
Au 0.5000 0.5000 0.2500  4 Au 3.10, 8 Pb 3.31
Pb 0.0000 0.0000 0.5126  4 Pb 3.10, 4 Mo 3.14, 4 Au 3.31

=====

No. 4
First-principles (PBE) data for MoPb2Au after structural relaxation, as listed in Alexandria.

ΔH_f (0 K) ... 0.61 eV/atom
N(E_F) ... 0.37 states/eV per atom
E ... -0.3507 Ry/atom
Polymorph energy (0 for the lowest one) ... 0.265 eV/atom

Unit cell a=5.4170 b=5.4170 c=5.4170 alpha=131.43 beta=131.61 gamma=70.99
Last column: nearest neighbours and their distance in Å.
Element x y z (fractional)
Au 0.7500 0.2500 0.5000  8 Pb 3.13, 4 Mo 3.15
Mo 0.2500 0.7500 0.5000  8 Pb 3.13, 4 Au 3.15
Pb 0.0000 0.0000 0.0000  4 Mo 3.13, 4 Au 3.13, 4 Pb 3.15
Pb 0.5000 0.5000 0.0000  4 Mo 3.13, 4 Au 3.13, 4 Pb 3.15

=====

No. 5
First-principles (PBE) data for MoPb2Au after structural relaxation, as listed in Alexandria.

ΔH_f (0 K) ... 0.74 eV/atom
N(E_F) ... 0.79 states/eV per atom
E ... -0.3413 Ry/atom
Polymorph energy (0 for the lowest one) ... 0.393 eV/atom

Unit cell a=5.1109 b=5.1109 c=5.1109 alpha=60.00 beta=60.00 gamma=60.00
Last column: nearest neighbours and their distance in Å.
Element x y z (fractional)
Mo 0.7500 0.7500 0.7500  4 Pb 3.13, 4 Au 3.13
Pb 0.2500 0.2500 0.2500  4 Pb 3.13, 4 Au 3.13
Au 0.5000 0.5000 0.5000  4 Mo 3.13, 4 Pb 3.13
Pb 0.0000 0.0000 0.0000  4 Mo 3.13, 4 Pb 3.13

=====

No. 6
First-principles (PBE) data for MoPb2Au after structural relaxation, as listed in Alexandria.

ΔH_f (0 K) ... 0.65 eV/atom
N(E_F) ... 0.67 states/eV per atom
E ... -0.3478 Ry/atom
Polymorph energy (0 for the lowest one) ... 0.305 eV/atom

Unit cell a=3.3484 b=5.5857 c=4.7994 alpha=90.00 beta=90.00 gamma=90.00
Last column: nearest neighbours and their distance in Å.
Element x y z (fractional)
Mo 0.0000 0.5000 0.5000  4 Pb 2.93, 4 Au 3.26
Au 0.5000 0.0000 0.5000  4 Pb 2.93, 4 Mo 3.26
Pb 0.5000 0.5000 0.0000  4 Mo 2.93, 4 Pb 3.26
Pb 0.0000 0.0000 0.0000  4 Au 2.93, 4 Pb 3.26

=====

No. 7
First-principles (PBE) data for MoPb2Au after structural relaxation, as listed in Alexandria.

ΔH_f (0 K) ... 0.63 eV/atom
N(E_F) ... 0.63 states/eV per atom
E ... -0.3494 Ry/atom
Polymorph energy (0 for the lowest one) ... 0.283 eV/atom

Unit cell a=5.3346 b=5.3346 c=5.6597 alpha=84.29 beta=84.29 gamma=33.50
Last column: nearest neighbours and their distance in Å.
Element x y z (fractional)
Pb 0.5116 0.5116 0.4909  3 Au 2.97-3.29, 6 Pb 3.07-3.30, 3 Mo 3.08-3.12
Au 0.7500 0.7500 0.7500  6 Pb 2.97-3.29, 2 Au 3.07, 4 Mo 3.22
Pb 0.9884 0.9884 0.0091  3 Au 2.97-3.29, 6 Pb 3.07-3.30, 3 Mo 3.08-3.12
Mo 0.2500 0.2500 0.2500  2 Mo 3.07, 6 Pb 3.08-3.12, 4 Au 3.22

=====

No. 8
First-principles (PBE) data for MoPb2Au after structural relaxation, as listed in Alexandria.

ΔH_f (0 K) ... 0.34 eV/atom
N(E_F) ... 0.43 states/eV per atom
E ... -0.3702 Ry/atom
Polymorph energy (0 for the lowest one) ... 0.000 eV/atom

Unit cell a=3.1026 b=3.1026 c=9.9001 alpha=90.00 beta=90.00 gamma=89.98
Last column: nearest neighbours and their distance in Å.
Element x y z (fractional)
Pb 0.0000 0.0000 0.9424  4 Pb 3.10, 4 Mo 3.14
Pb 0.5000 0.5000 0.3051  4 Pb 3.10, 4 Au 3.18
Au 0.0000 0.0000 0.5376  4 Mo 2.81, 4 Au 3.10
Mo 0.5000 0.5000 0.7150  4 Au 2.81, 4 Mo 3.10, 4 Pb 3.14

=====

No. 9
First-principles (PBE) data for MoPbAu4 after structural relaxation, as listed in Alexandria.

ΔH_f (0 K) ... 0.42 eV/atom
N(E_F) ... 0.31 states/eV per atom
E ... -0.3075 Ry/atom

Unit cell a=5.6014 b=5.6014 c=5.6014 alpha=60.00 beta=60.00 gamma=60.00
Last column: nearest neighbours and their distance in Å.
Element x y z (fractional)
Au 0.3754 0.3754 0.3754  6 Au 2.79-2.81
Au 0.8738 0.3754 0.3754  6 Au 2.79-2.81
Pb 0.0000 0.0000 0.0000  12 Au 3.29, 4 Mo 3.43
Au 0.3754 0.3754 0.8738  6 Au 2.79-2.81
Au 0.3754 0.8738 0.3754  6 Au 2.79-2.81
Mo 0.7500 0.7500 0.7500  12 Au 3.28, 4 Pb 3.43

=====

No. 10
First-principles (PBE) data for MoPb3Au after structural relaxation, as listed in Alexandria.

ΔH_f (0 K) ... 0.57 eV/atom
N(E_F) ... 0.71 states/eV per atom
E ... -0.3294 Ry/atom
Polymorph energy (0 for the lowest one) ... 0.000 eV/atom

Unit cell a=5.3751 b=5.3751 c=5.3751 alpha=90.00 beta=90.00 gamma=90.00
Last column: nearest neighbours and their distance in Å.
Element x y z (fractional)
Pb 0.0000 0.0000 0.5000  2 Mo 2.69
Pb 0.5000 0.0000 0.0000  2 Mo 2.69
Au 0.5000 0.5000 0.5000  12 Pb 3.80
Mo 0.0000 0.0000 0.0000  6 Pb 2.69
Pb 0.0000 0.5000 0.0000  2 Mo 2.69

=====

No. 11
First-principles (PBE) data for MoPb2Au after structural relaxation, as listed in Alexandria.

ΔH_f (0 K) ... 0.59 eV/atom
N(E_F) ... 0.80 states/eV per atom
E ... -0.3519 Ry/atom
Polymorph energy (0 for the lowest one) ... 0.249 eV/atom

Unit cell a=3.1237 b=3.1237 c=9.6782 alpha=90.00 beta=90.00 gamma=105.68
Last column: nearest neighbours and their distance in Å.
Element x y z (fractional)
Au 0.5000 0.5000 0.2500  4 Au 3.12, 4 Pb 3.18
Mo 0.5000 0.5000 0.7500  4 Pb 2.96, 4 Mo 3.12
Pb 0.0000 0.0000 0.5145  2 Mo 2.96, 4 Pb 3.12, 2 Au 3.18
Pb 0.0000 0.0000 0.9855  2 Mo 2.96, 4 Pb 3.12, 2 Au 3.18

=====

No. 12
First-principles (PBE) data for ReMoPbAu2 after structural relaxation, as listed in Alexandria.

ΔH_f (0 K) ... 1.27 eV/atom
N(E_F) ... 1.00 states/eV per atom
E ... -0.3996 Ry/atom

Unit cell a=5.1631 b=4.6998 c=5.1631 alpha=90.00 beta=90.00 gamma=90.00
Last column: nearest neighbours and their distance in Å.
Element x y z (fractional)
Re 0.0000 0.5000 0.0000  2 Mo 2.35
Mo 0.0000 0.0000 0.0000  2 Re 2.35, 4 Au 2.58
Pb 0.5000 0.5000 0.5000  8 Au 3.49, 4 Re 3.65
Au 0.0000 0.0000 0.5000  2 Mo 2.58
Au 0.5000 0.0000 0.0000  2 Mo 2.58

=====

- What is the N(E_F) in the ninth record?
  0.31 states/eV per atom